Entry 1:
Below is crystalline Ac2GaS at its relaxed geometry, with properties calculated at the GGA-PBE level.

Values from the calculation:
- DOS at the Fermi energy (states/eV/cell) = 12.4
- relative energy among the computed polymorphs (meV per atom) = 98.8
- ΔE_f (raw) (meV/atom) = -1063

Unit cell a=4.2217 b=4.2217 c=24.8622 alpha=90.00 beta=90.00 gamma=120.00
Space group R3m (No. 160, hexagonal axes)
Symmetry-distinct sites (fractional):
Ac  0.0000  0.0000  0.0000 (multiplicity 3)
Ac  0.0000  0.0000  0.1830 (multiplicity 3)
Ga  0.0000  0.0000  0.7587 (multiplicity 3)
S  0.0000  0.0000  0.5901 (multiplicity 3)

=====

Entry 2:
Below is crystalline Ac7Tb4Pm at its relaxed geometry, with properties calculated at the GGA-PBE level.

Values from the calculation:
- formation energy (eV per atom) = 0.128
- DOS at the Fermi energy (states/eV/cell) = 18.9

Unit cell a=7.0112 b=7.0921 c=10.0107 alpha=90.56 beta=103.76 gamma=95.38
Space group P-1 (No. 2)
Symmetry-distinct sites (fractional):
Ac  0.0000  0.0000  0.0000 (multiplicity 1)
Ac  0.2002  0.3637  0.5944 (multiplicity 2)
Ac  0.2953  0.8322  0.3714 (multiplicity 2)
Ac  0.4889  0.2481  0.9381 (multiplicity 2)
Tb  0.1639  0.8485  0.7130 (multiplicity 2)
Tb  0.3586  0.3274  0.2703 (multiplicity 2)
Pm  0.0000  0.5000  0.0000 (multiplicity 1)

=====

Entry 3:
Below is crystalline LaUNi10 at its relaxed geometry, with properties calculated at the GGA-PBE level.

Values from the calculation:
- formation energy (eV per atom) = -0.256
- DOS at the Fermi energy (states/eV/cell) = 15.6

Unit cell a=3.9927 b=4.9027 c=8.4743 alpha=90.00 beta=90.00 gamma=90.00
Space group Pmmm (No. 47)
Symmetry-distinct sites (fractional):
La  0.0000  0.0000  0.0000 (multiplicity 1)
U  0.0000  0.5000  0.5000 (multiplicity 1)
Ni  0.0000  0.0000  0.3419 (multiplicity 2)
Ni  0.0000  0.5000  0.1835 (multiplicity 2)
Ni  0.5000  0.0000  0.5000 (multiplicity 1)
Ni  0.5000  0.2566  0.2602 (multiplicity 4)
Ni  0.5000  0.5000  0.0000 (multiplicity 1)

=====

Entry 4:
Below is crystalline Na2MgTl2 at its relaxed geometry, with properties calculated at the GGA-PBE level.

Values from the calculation:
- formation energy (eV per atom) = 0.017
- DOS at the Fermi energy (states/eV/cell) = 3.6
- relative energy among the computed polymorphs (meV per atom) = 102.4

Unit cell a=8.9131 b=8.9131 c=3.5708 alpha=90.00 beta=90.00 gamma=90.00
Space group P4/mbm (No. 127)
Symmetry-distinct sites (fractional):
Na  0.1267  0.3733  0.0000 (multiplicity 4)
Mg  0.0000  0.0000  0.0000 (multiplicity 2)
Tl  0.1732  0.6732  0.5000 (multiplicity 4)

=====

Entry 5:
Below is crystalline AcPm2PrEr at its relaxed geometry, with properties calculated at the GGA-PBE level.

Values from the calculation:
- formation energy (eV per atom) = 0.342
- DOS at the Fermi energy (states/eV/cell) = 28.1

Unit cell a=8.3293 b=12.2671 c=7.4056 alpha=90.00 beta=90.00 gamma=90.00
Space group Cmcm (No. 63)
Symmetry-distinct sites (fractional):
Ac  0.0000  0.2431  0.2500 (multiplicity 4)
Pm  0.1957  0.5000  0.0000 (multiplicity 8)
Pr  0.0000  0.0613  0.7500 (multiplicity 4)
Er  0.0000  0.3096  0.7500 (multiplicity 4)

=====

Entry 6:
Below is crystalline AlW2Cl at its relaxed geometry, with properties calculated at the GGA-PBE level.

Values from the calculation:
- DOS at the Fermi energy (states/eV/cell) = 1.6
- relative energy among the computed polymorphs (meV per atom) = 228.6
- ΔE_f (raw) (meV/atom) = 463

Unit cell a=2.8115 b=4.4713 c=5.2121 alpha=90.00 beta=98.07 gamma=90.00
Space group Pm (No. 6)
Symmetry-distinct sites (fractional):
Al  0.0000  0.0000  0.0000 (multiplicity 1)
W  0.3895  0.5000  0.7492 (multiplicity 1)
W  0.6350  0.0000  0.4991 (multiplicity 1)
Cl  0.5575  0.5000  0.2265 (multiplicity 1)

=====

Q: Among the records above, which one has the highest DOS at the Fermi energy?
A: AcPm2PrEr

=====

Q: Number 4 is which compound?
A: Na2MgTl2